14
Lattice="-2.561 0.668 -2.855 -3.101 -4.496 4.384 -5.322 10.785 7.296" Properties=species:S:1:pos:R:3 comment="YU2Se4, relaxed, DFT PBE" relative_energy_ev_per_atom=0.064 dos_at_fermi_per_ev_atom=1.680 formation_energy_uncorrected_mev_per_atom=-1271 mass_density_g_cm3=7.9 magnetic_moment_mub_per_atom=0.905 vol_a3_per_atom=26.3 sg=Cmcm pbc="T T T"
Se -1.709 2.337 2.079
Se -3.942 5.727 2.220
Se -5.232 4.979 5.857
Se -1.280 0.334 -1.428
Se -9.276 4.620 6.745
Se -4.454 -0.652 1.188
Se -5.752 1.978 2.967
Se -6.530 7.609 7.636
U -3.530 3.525 3.990
U -1.569 -0.448 1.302
U -9.415 7.406 7.522
U -7.454 3.432 4.834
Y -4.704 -0.508 4.100
Y -6.280 7.466 4.724